No. 1
6
Lattice="6.210 -2.667 0.000 6.210 2.667 0.000 -6.150 0.000 6.267" Properties=species:S:1:pos:R:3 comment="KInPb, optimized geometry, DFT PBE" space_group=C2/m pbc="T T T"
K 1.968 0.000 1.123
K 4.302 0.000 5.144
In -1.680 0.000 2.622
In 7.949 0.000 3.645
Pb 0.580 0.000 4.747
Pb 5.689 0.000 1.520

No. 2
10
Lattice="3.274 -8.733 0.000 3.274 8.733 0.000 0.000 0.000 6.463" Properties=species:S:1:pos:R:3 comment="AcTb2PmDy, optimized geometry, DFT PBE" space_group=Cmcm pbc="T T T"
Ac 3.274 5.958 4.847
Ac 3.274 -5.958 1.616
Tb 1.670 0.000 0.000
Tb 1.670 0.000 3.232
Tb 4.879 0.000 0.000
Tb 4.879 0.000 3.232
Pm 3.274 2.665 4.847
Pm 3.274 -2.665 1.616
Dy 3.274 4.023 1.616
Dy 3.274 -4.023 4.847

No. 3
6
Lattice="4.013 0.000 0.000 -2.006 3.475 0.000 0.000 0.000 4.956" Properties=species:S:1:pos:R:3 comment="AlFeCo, optimized geometry, DFT PBE" space_group=P3m1 relative_energy_mev_per_atom=0 pbc="T T T"
Al 0.000 0.000 0.000
Al 0.000 2.317 1.679
Fe 0.000 2.317 4.121
Fe 2.006 1.158 3.335
Co 0.000 0.000 2.505
Co 2.006 1.158 0.847

Values of total energy, in order: -8.06; -20.82; -20.39, all in eV/f.u..
Values of density of states at the Fermi level, in order: 1.53; 16.74; 3.59, all in states/eV per cell.
Values of ΔH_f (0 K), in order: -0.173; 0.381; -0.360, all in eV per atom.